[1]
The following is a PBE calculation of an optimized crystal structure of P5Ir4, from Alexandria.

```
P5Ir4
1.0
6.7435 0.0000 0.0000
-3.3718 5.8401 0.0000
0.0000 0.0000 6.9672
P Ir
10 8
direct
0.0000 0.7476 0.2500 P
0.2524 0.2524 0.2500 P
0.7476 0.0000 0.2500 P
0.0000 0.2524 0.7500 P
0.7476 0.7476 0.7500 P
0.2524 0.0000 0.7500 P
0.6667 0.3333 0.0000 P
0.3333 0.6667 0.5000 P
0.3333 0.6667 0.0000 P
0.6667 0.3333 0.5000 P
0.0000 0.0000 0.0000 Ir
0.0000 0.0000 0.5000 Ir
0.0000 0.4079 0.2500 Ir
0.5921 0.5921 0.2500 Ir
0.4079 0.0000 0.2500 Ir
0.0000 0.5921 0.7500 Ir
0.4079 0.4079 0.7500 Ir
0.5921 0.0000 0.7500 Ir
```

Computed properties:
Density of states at the Fermi level   8.6 states/eV/cell
Space group   P6_3/mcm (193)
Calculated density   11.2 Mg/m³
ΔH_f (0 K)   0.1144 eV per atom

---

[2]
The following is a PBE calculation of an optimized crystal structure of P3Ir, from Alexandria.

```
P3Ir
1.0
-0.6262 0.7872 3.9794
3.1940 -1.8726 0.8730
2.3066 3.1416 -1.7004
P Ir
3 1
direct
0.2447 0.3264 0.8115 P
0.7553 0.3264 0.1885 P
0.5000 0.6509 0.5000 P
0.0000 0.8028 0.0000 Ir
```

Computed properties:
Density of states at the Fermi level   0.7 states/eV/cell
Space group   P2 (3)
Calculated density   7.6 Mg/m³
ΔH_f (0 K)   -0.1681 eV per atom

---

[3]
The following is a PBE calculation of an optimized crystal structure of PIr, from Alexandria.

```
PIr
1.0
6.6901 0.0000 0.0000
0.0000 6.4090 0.0000
0.0000 0.0000 7.8023
P Ir
8 8
direct
0.3275 0.5748 0.0396 P
0.8275 0.9252 0.9604 P
0.6725 0.0748 0.4604 P
0.1725 0.4252 0.5396 P
0.3464 0.0408 0.8143 P
0.8464 0.4592 0.1857 P
0.6536 0.5408 0.6857 P
0.1536 0.9592 0.3143 P
0.6612 0.6122 0.9816 Ir
0.1612 0.8878 0.0184 Ir
0.3388 0.1122 0.5184 Ir
0.8388 0.3878 0.4816 Ir
0.3600 0.3966 0.7855 Ir
0.8600 0.1034 0.2145 Ir
0.6400 0.8966 0.7145 Ir
0.1400 0.6034 0.2855 Ir
```

Computed properties:
Density of states at the Fermi level   5.2 states/eV/cell
Space group   P2_12_12_1 (19)
Calculated density   8.9 Mg/m³
ΔH_f (0 K)   -0.2218 eV per atom

---

[4]
The following is a PBE calculation of an optimized crystal structure of P3Ir, from Alexandria.

```
P3Ir
1.0
-1.1165 0.8218 -3.3079
2.7476 -1.1420 -2.0241
-1.6324 -4.9005 -2.5604
P Ir
3 1
direct
0.5260 0.6015 0.0163 P
0.7455 0.8220 0.5339 P
0.0950 0.1704 0.6390 P
0.9008 0.9766 0.0794 Ir
```

Computed properties:
Density of states at the Fermi level   1.2 states/eV/cell
Space group   P1 (1)
Calculated density   7.1 Mg/m³
ΔH_f (0 K)   -0.1492 eV per atom